No. 1
First-principles (PBE) data for a relaxed Th5RuC4 crystal, as listed in Alexandria via LeMat-Bulk.

## Properties
- crystal system = orthorhombic
- Fermi-level density of states (states/eV/f.u.) = 7.0
- ΔH_f (0 K) (eV per formula unit) = 1.460

Cell lengths 6.2564, 7.4308, 8.4954 Å; angles 90.00, 90.00, 90.00 degrees
Last column: nearest neighbours and their distance in Å.
Sites, in units of the cell vectors:
C  0.3877  0.7094  0.5000  1 Ru 2.16
C  0.0042  0.5000  0.7270  1 Ru 2.13
C  0.0042  0.5000  0.2730  1 Ru 2.13
C  0.6123  0.2094  0.0000  1 Ru 2.16
Th  0.7320  0.2376  0.3090  4 C 2.52-2.74
C  0.9958  0.0000  0.2270  1 Ru 2.13
Ru  0.8509  0.0000  0.0000  4 C 2.13-2.16
C  0.9958  0.0000  0.7730  1 Ru 2.13
Th  0.2680  0.7376  0.8090  4 C 2.52-2.74
Th  0.2680  0.2624  0.1910  4 C 2.52-2.74
Th  0.2680  0.2624  0.8090  4 C 2.52-2.74
Th  0.7320  0.7624  0.6910  4 C 2.52-2.74
Ru  0.1491  0.5000  0.5000  4 C 2.13-2.16
Th  0.7320  0.7624  0.3090  4 C 2.52-2.74
C  0.6123  0.7906  0.0000  1 Ru 2.16
Th  0.8300  0.5000  0.0000  4 C 2.55-2.56
Th  0.7320  0.2376  0.6910  4 C 2.52-2.74
Th  0.2680  0.7376  0.1910  4 C 2.52-2.74
Th  0.1700  0.0000  0.5000  4 C 2.55-2.56
C  0.3877  0.2906  0.5000  1 Ru 2.16

=====

No. 2
First-principles (PBE) data for a relaxed Ti4Al3Os crystal, as listed in Alexandria via LeMat-Bulk.

## Properties
- crystal system = orthorhombic
- Fermi-level density of states (states/eV/f.u.) = 8.8
- ΔH_f (0 K) (eV per formula unit) = -3.272

Cell lengths 4.7666, 5.8102, 9.0853 Å; angles 90.00, 90.00, 90.00 degrees
Last column: nearest neighbours and their distance in Å.
Sites, in units of the cell vectors:
Al  0.3405  0.5000  0.2500  8 Ti 2.71-2.83, 2 Os 2.79, 2 Al 2.91
Al  0.0000  0.0000  0.5000  8 Ti 2.80-2.81, 2 Al 2.84, 2 Os 2.91
Ti  0.1450  0.2572  0.7500  6 Al 2.71-2.83, 2 Os 2.76, 4 Ti 2.82-2.99
Os  0.0000  0.5000  0.0000  8 Ti 2.76-2.78, 4 Al 2.79-2.91
Ti  0.5000  0.2537  0.0000  2 Os 2.78, 6 Al 2.79-2.80, 4 Ti 2.83-2.95
Ti  0.1450  0.7428  0.7500  6 Al 2.71-2.83, 2 Os 2.76, 4 Ti 2.82-2.99
Al  0.6595  0.5000  0.7500  8 Ti 2.71-2.83, 2 Os 2.79, 2 Al 2.91
Al  0.6440  0.0000  0.7500  8 Ti 2.79-2.82, 4 Al 2.84-2.91
Ti  0.8550  0.2572  0.2500  6 Al 2.71-2.83, 2 Os 2.76, 4 Ti 2.82-2.99
Os  0.0000  0.5000  0.5000  8 Ti 2.76-2.78, 4 Al 2.79-2.91
Ti  0.8550  0.7428  0.2500  6 Al 2.71-2.83, 2 Os 2.76, 4 Ti 2.82-2.99
Al  0.0000  0.0000  0.0000  8 Ti 2.80-2.81, 2 Al 2.84, 2 Os 2.91
Al  0.3560  0.0000  0.2500  8 Ti 2.79-2.82, 4 Al 2.84-2.91
Ti  0.5000  0.7463  0.5000  2 Os 2.78, 6 Al 2.79-2.80, 4 Ti 2.83-2.95
Ti  0.5000  0.2537  0.5000  2 Os 2.78, 6 Al 2.79-2.80, 4 Ti 2.83-2.95
Ti  0.5000  0.7463  0.0000  2 Os 2.78, 6 Al 2.79-2.80, 4 Ti 2.83-2.95

=====

No. 3
First-principles (PBE) data for a relaxed HAu crystal, as listed in Alexandria via LeMat-Bulk.

## Properties
- calculated total energy (eV/cell) = -35.84
- crystal system = cubic
- Fermi-level density of states (states/eV/f.u.) = 0.2

Cell lengths 5.5007, 5.5007, 5.5007 Å; angles 90.00, 90.00, 90.00 degrees
Last column: nearest neighbours and their distance in Å.
Sites, in units of the cell vectors:
Au  0.2500  0.0000  0.5000  4 H 1.94
Au  0.5000  0.7500  0.0000  4 H 1.94
H  0.5000  0.0000  0.7500  4 Au 1.94
Au  0.0000  0.5000  0.7500  4 H 1.94
Au  0.7500  0.0000  0.5000  4 H 1.94
H  0.5000  0.0000  0.2500  4 Au 1.94
H  0.0000  0.2500  0.5000  4 Au 1.94
H  0.2500  0.5000  0.0000  4 Au 1.94
Au  0.5000  0.2500  0.0000  4 H 1.94
H  0.7500  0.5000  0.0000  4 Au 1.94
Au  0.0000  0.5000  0.2500  4 H 1.94
H  0.0000  0.7500  0.5000  4 Au 1.94

=====

No. 4
First-principles (PBE) data for a relaxed MgMn2HAu crystal, as listed in Alexandria via LeMat-Bulk.

## Properties
- calculated total energy (eV/cell) = -26.82
- crystal system = tetragonal
- Fermi-level density of states (states/eV/f.u.) = 3.6

Cell lengths 3.8462, 3.8462, 4.2824 Å; angles 90.00, 90.00, 90.00 degrees
Last column: nearest neighbours and their distance in Å.
Sites, in units of the cell vectors:
H  0.0000  0.0000  0.0000  4 Mn 1.92, 2 Mg 2.14
Mn  0.0000  0.5000  0.0000  2 H 1.92
Au  0.5000  0.5000  0.5000  4 Mg 2.72, 8 Mn 2.88
Mn  0.5000  0.0000  0.0000  2 H 1.92
Mg  0.0000  0.0000  0.5000  2 H 2.14

=====

No. 5
First-principles (PBE) data for a relaxed CaGaSi2 crystal, as listed in Alexandria via LeMat-Bulk.

## Properties
- crystal system = tetragonal
- Fermi-level density of states (states/eV/f.u.) = 2.5
- energy relative to the elements, uncorrected (kJ/mol of atoms) = 0.2

Cell lengths 4.6278, 4.6278, 9.2050 Å; angles 75.44, 75.44, 90.00 degrees
Last column: nearest neighbours and their distance in Å.
Sites, in units of the cell vectors:
Si  0.7609  0.1250  0.2500  2 Ga 2.50, 2 Si 2.54
Si  0.3750  0.2391  0.7500  2 Ga 2.50, 2 Si 2.54
Ga  0.0000  0.0000  0.0000  4 Si 2.50
Ca  0.5000  0.5000  0.0000  4 Si 3.03, 4 Ga 3.27
Si  0.9891  0.6250  0.2500  2 Ga 2.50, 2 Si 2.54
Ca  0.2500  0.7500  0.5000  4 Si 3.03, 4 Ga 3.27
Si  0.8750  0.0109  0.7500  2 Ga 2.50, 2 Si 2.54
Ga  0.7500  0.2500  0.5000  4 Si 2.50

=====

No. 6
First-principles (PBE) data for a relaxed LaReIrSe2 crystal, as listed in Alexandria via LeMat-Bulk.

## Properties
- crystal system = tetragonal
- Fermi-level density of states (states/eV/f.u.) = 7.6
- energy relative to the elements, uncorrected (kJ/mol of atoms) = 92.8

Cell lengths 4.8652, 5.2371, 4.8652 Å; angles 90.00, 90.00, 90.00 degrees
Last column: nearest neighbours and their distance in Å.
Sites, in units of the cell vectors:
Ir  0.0000  0.0000  0.0000  4 Se 2.43, 2 La 2.62
Se  0.0000  0.0000  0.5000  2 Ir 2.43
Re  0.5000  0.5000  0.5000  4 La 3.44, 8 Se 3.57
Se  0.5000  0.0000  0.0000  2 Ir 2.43
La  0.0000  0.5000  0.0000  2 Ir 2.62